Compound: Y6HgRu2
Source: the Alexandria database
Functional: PBE
Structure: relaxed

Cell lengths 8.484, 8.484, 8.484 Å; angles 104.11, 112.01, 112.42 degrees
Atoms (fractional coordinates):
Y 0.535 0.718 0.817
Ru 0.500 0.376 0.876
Ru 0.674 0.000 0.674
Y 0.686 0.357 0.671
Y 0.900 0.718 0.183
Y 0.314 0.985 0.671
Y 0.200 0.758 0.957
Ru 0.326 0.000 0.326
Y 0.100 0.282 0.817
Y 0.200 0.242 0.442
Hg 0.000 0.500 0.500
Y 0.686 0.015 0.329
Y 0.465 0.282 0.183
Ru 0.500 0.624 0.124
Y 0.314 0.643 0.329
Y 0.800 0.242 0.043
Y 0.800 0.758 0.558
Hg 0.000 0.000 0.000

- space-group type = No. 71
- magnetic moment (μB per formula unit) = 0.000
- final energy (eV for the cell shown) = -121.63

=====

Compound: SiMoPd2
Source: the Alexandria database
Functional: PBE
Structure: relaxed

Cell lengths 3.712, 3.712, 9.595 Å; angles 78.85, 78.85, 90.00 degrees
Atoms (fractional coordinates):
Pd 0.619 0.125 0.250
Mo 0.000 0.000 0.000
Pd 0.375 0.381 0.750
Si 0.250 0.750 0.500
Pd 0.131 0.625 0.250
Si 0.500 0.500 0.000
Pd 0.875 0.869 0.750
Mo 0.750 0.250 0.500

- space-group type = No. 122
- magnetic moment (μB per formula unit) = 0.000
- formation energy without anion corrections (meV/atom) = 125
- final energy (eV for the cell shown) = -52.28

=====

Compound: KPmEuPb
Source: the Alexandria database
Functional: PBE
Structure: relaxed

Cell lengths 5.771, 5.771, 5.771 Å; angles 60.00, 60.00, 60.00 degrees
Atoms (fractional coordinates):
K 0.750 0.750 0.750
Pm 0.000 0.000 0.000
Eu 0.500 0.500 0.500
Pb 0.250 0.250 0.250

- space-group type = No. 216
- magnetic moment (μB per formula unit) = 8.646
- final energy (eV for the cell shown) = -19.90

=====

> Among the records above, which one has the lowest final energy?

Y6HgRu2